[1]
# CdCo2CuAg (GGA-PBEsol, relaxed)
data_CdCo2CuAg
_chemical_formula_sum 'Cd1 Co2 Cu1 Ag1'
_cell_length_a 4.303
_cell_length_b 4.303
_cell_length_c 4.693
_cell_angle_alpha 90.00
_cell_angle_beta 90.00
_cell_angle_gamma 90.00
_symmetry_space_group_name_H-M 'P 1'
_symmetry_Int_Tables_number 1
loop_
_symmetry_equiv_pos_as_xyz
'x,y,z'
loop_
_atom_site_label
_atom_site_type_symbol
_atom_site_fract_x
_atom_site_fract_y
_atom_site_fract_z
_atom_site_occupancy
Cd1 Cd 0.000 0.000 0.000 1
Co1 Co 0.000 0.500 0.500 1
Co2 Co 0.500 0.000 0.500 1
Cu1 Cu 0.000 0.000 0.500 1
Ag1 Ag 0.500 0.500 0.000 1
# Space group: P4/mmm, No. 123
# Total magnetic moment: 3.5 μB/cell
# Calculated density: 7.677 g/cm³
# E: -3.738 eV per atom
# Energy relative to the elements: 1.125 eV/atom


[2]
# CdCoAgF2 (GGA-PBEsol, relaxed)
data_CdCoAgF2
_chemical_formula_sum 'Cd1 Co1 Ag1 F2'
_cell_length_a 3.811
_cell_length_b 3.811
_cell_length_c 5.442
_cell_angle_alpha 90.00
_cell_angle_beta 90.00
_cell_angle_gamma 90.00
_symmetry_space_group_name_H-M 'P 1'
_symmetry_Int_Tables_number 1
loop_
_symmetry_equiv_pos_as_xyz
'x,y,z'
loop_
_atom_site_label
_atom_site_type_symbol
_atom_site_fract_x
_atom_site_fract_y
_atom_site_fract_z
_atom_site_occupancy
Cd1 Cd 0.000 0.000 0.000 1
Co1 Co 0.500 0.500 0.500 1
Ag1 Ag 0.500 0.500 0.000 1
F1 F 0.000 0.500 0.500 1
F2 F 0.500 0.000 0.500 1
# Space group: P4/mmm, No. 123
# Total magnetic moment: 2.2 μB/cell
# Calculated density: 6.666 g/cm³
# E_form (uncorrected): -0.738 eV per atom
# E: -3.958 eV per atom


[3]
# Cr2CdAg (GGA-PBEsol, relaxed)
data_Cr2CdAg
_chemical_formula_sum 'Cr2 Cd1 Ag1'
_cell_length_a 2.969
_cell_length_b 2.969
_cell_length_c 6.866
_cell_angle_alpha 90.00
_cell_angle_beta 90.00
_cell_angle_gamma 90.00
_symmetry_space_group_name_H-M 'P 1'
_symmetry_Int_Tables_number 1
loop_
_symmetry_equiv_pos_as_xyz
'x,y,z'
loop_
_atom_site_label
_atom_site_type_symbol
_atom_site_fract_x
_atom_site_fract_y
_atom_site_fract_z
_atom_site_occupancy
Cr1 Cr 0.000 0.000 0.000 1
Cr2 Cr 0.500 0.500 0.152 1
Cd1 Cd 0.500 0.500 0.713 1
Ag1 Ag 0.000 0.000 0.425 1
# Space group: P4mm, No. 99
# Total magnetic moment: 0.1 μB/cell
# Calculated density: 8.897 g/cm³
# E: -5.946 eV per atom
# Energy relative to the elements: 0.302 eV/atom


[4]
# Cr2CdAg (GGA-PBEsol, relaxed)
data_Cr2CdAg
_chemical_formula_sum 'Cr2 Cd1 Ag1'
_cell_length_a 5.026
_cell_length_b 5.026
_cell_length_c 2.605
_cell_angle_alpha 90.28
_cell_angle_beta 90.28
_cell_angle_gamma 118.24
_symmetry_space_group_name_H-M 'P 1'
_symmetry_Int_Tables_number 1
loop_
_symmetry_equiv_pos_as_xyz
'x,y,z'
loop_
_atom_site_label
_atom_site_type_symbol
_atom_site_fract_x
_atom_site_fract_y
_atom_site_fract_z
_atom_site_occupancy
Cr1 Cr 0.000 0.500 0.000 1
Cr2 Cr 0.500 0.000 0.000 1
Cd1 Cd 0.000 0.000 0.500 1
Ag1 Ag 0.500 0.500 0.500 1
# Space group: C2/m, No. 12
# Total magnetic moment: 0.0 μB/cell
# Calculated density: 9.288 g/cm³
# E: -5.532 eV per atom
# Energy relative to the elements: 0.716 eV/atom


[5]
# Cr2CdAg (GGA-PBEsol, relaxed)
data_Cr2CdAg
_chemical_formula_sum 'Cr2 Cd1 Ag1'
_cell_length_a 2.716
_cell_length_b 2.716
_cell_length_c 8.902
_cell_angle_alpha 90.00
_cell_angle_beta 90.00
_cell_angle_gamma 114.85
_symmetry_space_group_name_H-M 'P 1'
_symmetry_Int_Tables_number 1
loop_
_symmetry_equiv_pos_as_xyz
'x,y,z'
loop_
_atom_site_label
_atom_site_type_symbol
_atom_site_fract_x
_atom_site_fract_y
_atom_site_fract_z
_atom_site_occupancy
Cr1 Cr 0.000 0.000 0.000 1
Cr2 Cr 0.500 0.500 0.180 1
Cd1 Cd 0.000 0.000 0.453 1
Ag1 Ag 0.500 0.500 0.739 1
# Space group: Cmm2, No. 35
# Total magnetic moment: 0.0 μB/cell
# Calculated density: 9.038 g/cm³
# E: -5.905 eV per atom
# Energy relative to the elements: 0.343 eV/atom


[6]
# Cr2CdAg2 (GGA-PBEsol, relaxed)
data_Cr2CdAg2
_chemical_formula_sum 'Cr2 Cd1 Ag2'
_cell_length_a 8.137
_cell_length_b 8.137
_cell_length_c 8.137
_cell_angle_alpha 157.47
_cell_angle_beta 157.47
_cell_angle_gamma 32.07
_symmetry_space_group_name_H-M 'P 1'
_symmetry_Int_Tables_number 1
loop_
_symmetry_equiv_pos_as_xyz
'x,y,z'
loop_
_atom_site_label
_atom_site_type_symbol
_atom_site_fract_x
_atom_site_fract_y
_atom_site_fract_z
_atom_site_occupancy
Cr1 Cr 0.250 0.750 0.500 1
Cr2 Cr 0.750 0.250 0.500 1
Cd1 Cd 0.000 0.000 0.000 1
Ag1 Ag 0.392 0.392 0.000 1
Ag2 Ag 0.608 0.608 0.000 1
# Space group: I4/mmm, No. 139
# Total magnetic moment: 0.0 μB/cell
# Calculated density: 9.079 g/cm³
# E: -5.146 eV per atom
# Energy relative to the elements: 0.515 eV/atom


[7]
# CrCdGaAg2 (GGA-PBEsol, relaxed)
data_CrCdGaAg2
_chemical_formula_sum 'Cr1 Cd1 Ga1 Ag2'
_cell_length_a 5.046
_cell_length_b 5.046
_cell_length_c 4.774
_cell_angle_alpha 90.00
_cell_angle_beta 90.00
_cell_angle_gamma 90.00
_symmetry_space_group_name_H-M 'P 1'
_symmetry_Int_Tables_number 1
loop_
_symmetry_equiv_pos_as_xyz
'x,y,z'
loop_
_atom_site_label
_atom_site_type_symbol
_atom_site_fract_x
_atom_site_fract_y
_atom_site_fract_z
_atom_site_occupancy
Cr1 Cr 0.000 0.000 0.000 1
Cd1 Cd 0.500 0.500 0.500 1
Ga1 Ga 0.500 0.500 0.000 1
Ag1 Ag 0.000 0.500 0.500 1
Ag2 Ag 0.500 0.000 0.500 1
# Space group: P4/mmm, No. 123
# Total magnetic moment: 4.8 μB/cell
# Calculated density: 6.146 g/cm³
# E: -3.213 eV per atom
# Energy relative to the elements: 1.067 eV/atom


[8]
# Cr4CdAgSe8 (GGA-PBEsol, relaxed)
data_Cr4CdAgSe8
_chemical_formula_sum 'Cr4 Cd1 Ag1 Se8'
_cell_length_a 7.488
_cell_length_b 7.488
_cell_length_c 7.488
_cell_angle_alpha 60.00
_cell_angle_beta 60.00
_cell_angle_gamma 60.00
_symmetry_space_group_name_H-M 'P 1'
_symmetry_Int_Tables_number 1
loop_
_symmetry_equiv_pos_as_xyz
'x,y,z'
loop_
_atom_site_label
_atom_site_type_symbol
_atom_site_fract_x
_atom_site_fract_y
_atom_site_fract_z
_atom_site_occupancy
Cr1 Cr 0.123 0.123 0.123 1
Cr2 Cr 0.123 0.123 0.631 1
Cr3 Cr 0.123 0.631 0.123 1
Cr4 Cr 0.631 0.123 0.123 1
Cd1 Cd 0.500 0.500 0.500 1
Ag1 Ag 0.750 0.750 0.750 1
Se1 Se 0.335 0.888 0.888 1
Se2 Se 0.360 0.360 0.360 1
Se3 Se 0.360 0.360 0.921 1
Se4 Se 0.360 0.921 0.360 1
Se5 Se 0.888 0.335 0.888 1
Se6 Se 0.888 0.888 0.335 1
Se7 Se 0.888 0.888 0.888 1
Se8 Se 0.921 0.360 0.360 1
# Space group: F-43m, No. 216
# Total magnetic moment: 11.0 μB/cell
# Calculated density: 5.929 g/cm³
# E_form (uncorrected): -0.437 eV per atom
# E: -5.886 eV per atom


[9]
# ZrCrCd2Ag (GGA-PBEsol, relaxed)
data_ZrCrCd2Ag
_chemical_formula_sum 'Zr1 Cr1 Cd2 Ag1'
_cell_length_a 4.879
_cell_length_b 4.879
_cell_length_c 4.771
_cell_angle_alpha 90.00
_cell_angle_beta 90.00
_cell_angle_gamma 90.00
_symmetry_space_group_name_H-M 'P 1'
_symmetry_Int_Tables_number 1
loop_
_symmetry_equiv_pos_as_xyz
'x,y,z'
loop_
_atom_site_label
_atom_site_type_symbol
_atom_site_fract_x
_atom_site_fract_y
_atom_site_fract_z
_atom_site_occupancy
Zr1 Zr 0.000 0.000 0.000 1
Cr1 Cr 0.500 0.500 0.500 1
Cd1 Cd 0.000 0.500 0.500 1
Cd2 Cd 0.500 0.000 0.500 1
Ag1 Ag 0.500 0.500 0.000 1
# Space group: P4/mmm, No. 123
# Total magnetic moment: 3.4 μB/cell
# Calculated density: 6.958 g/cm³
# E: -4.014 eV per atom
# Energy relative to the elements: 0.993 eV/atom


[10]
# CsCd3Ag (GGA-PBEsol, relaxed)
data_CsCd3Ag
_chemical_formula_sum 'Cs1 Cd3 Ag1'
_cell_length_a 5.354
_cell_length_b 5.354
_cell_length_c 5.354
_cell_angle_alpha 90.00
_cell_angle_beta 90.00
_cell_angle_gamma 90.00
_symmetry_space_group_name_H-M 'P 1'
_symmetry_Int_Tables_number 1
loop_
_symmetry_equiv_pos_as_xyz
'x,y,z'
loop_
_atom_site_label
_atom_site_type_symbol
_atom_site_fract_x
_atom_site_fract_y
_atom_site_fract_z
_atom_site_occupancy
Cs1 Cs 0.000 0.000 0.000 1
Cd1 Cd 0.000 0.500 0.500 1
Cd2 Cd 0.500 0.000 0.500 1
Cd3 Cd 0.500 0.500 0.000 1
Ag1 Ag 0.500 0.500 0.500 1
# Space group: Pm-3m, No. 221
# Total magnetic moment: 0.0 μB/cell
# Calculated density: 6.254 g/cm³
# E: -1.503 eV per atom
# Energy relative to the elements: 0.066 eV/atom


[11]
# Cs2CdAgO (GGA-PBEsol, relaxed)
data_Cs2CdAgO
_chemical_formula_sum 'Cs2 Cd1 Ag1 O1'
_cell_length_a 6.437
_cell_length_b 6.437
_cell_length_c 5.193
_cell_angle_alpha 90.00
_cell_angle_beta 90.00
_cell_angle_gamma 90.00
_symmetry_space_group_name_H-M 'P 1'
_symmetry_Int_Tables_number 1
loop_
_symmetry_equiv_pos_as_xyz
'x,y,z'
loop_
_atom_site_label
_atom_site_type_symbol
_atom_site_fract_x
_atom_site_fract_y
_atom_site_fract_z
_atom_site_occupancy
Cs1 Cs 0.000 0.500 0.000 1
Cs2 Cs 0.500 0.000 0.000 1
Cd1 Cd 0.000 0.000 0.500 1
Ag1 Ag 0.000 0.000 0.000 1
O1 O 0.500 0.500 0.500 1
# Space group: P4/mmm, No. 123
# Total magnetic moment: 0.5 μB/cell
# Calculated density: 3.875 g/cm³
# E_form (uncorrected): 0.219 eV per atom
# E: -2.109 eV per atom


[12]
# CsZr2CdAg (GGA-PBEsol, relaxed)
data_CsZr2CdAg
_chemical_formula_sum 'Cs1 Zr2 Cd1 Ag1'
_cell_length_a 5.173
_cell_length_b 5.173
_cell_length_c 5.599
_cell_angle_alpha 90.00
_cell_angle_beta 90.00
_cell_angle_gamma 90.00
_symmetry_space_group_name_H-M 'P 1'
_symmetry_Int_Tables_number 1
loop_
_symmetry_equiv_pos_as_xyz
'x,y,z'
loop_
_atom_site_label
_atom_site_type_symbol
_atom_site_fract_x
_atom_site_fract_y
_atom_site_fract_z
_atom_site_occupancy
Cs1 Cs 0.000 0.000 0.000 1
Zr1 Zr 0.000 0.500 0.000 1
Zr2 Zr 0.500 0.000 0.000 1
Cd1 Cd 0.000 0.000 0.500 1
Ag1 Ag 0.500 0.500 0.500 1
# Space group: P4/mmm, No. 123
# Total magnetic moment: 0.0 μB/cell
# Calculated density: 5.936 g/cm³
# E: -2.721 eV per atom
# Energy relative to the elements: 2.005 eV/atom